Compound: LiAlMo2
Source: Alexandria via LeMat-Bulk
Functional: PBEsol
Structure: optimized geometry

The formation energy comes out at 0.42 eV/f.u. For the total magnetization, the calculation gives 0.0 μB per formula unit.

The space group is Pmmm (No. 47) and the conventional cell measures 3.3290, 3.9773 and 4.3545 Å, with angles of 90.00, 90.00 and 90.00 degrees. Symmetry generates all atoms from Li at (0.0000, 0.0000, 0.0000), Al at (0.5000, 0.5000, 0.0000), Mo at (0.0000, 0.5000, 0.5000) and Mo at (0.5000, 0.0000, 0.5000).